{
  "formula": "Cs2SrHgF6",
  "functional": "PBE",
  "state": "relaxed",
  "cell": [[6.7117, 0.0000, 0.0000], [0.0000, 6.7117, 0.0000], [3.3559, 3.3559, 4.7471]],
  "species": ["F", "F", "F", "F", "F", "F", "Hg", "Cs", "Cs", "Sr"],
  "frac_coords": [[0.2471, 0.2471, 0.5058], [0.7529, 0.2471, 0.0000], [0.2471, 0.7529, 0.0000], [0.2471, 0.2471, 0.0000], [0.7529, 0.7529, 0.0000], [0.7529, 0.7529, 0.4942], [0.0000, 0.0000, 0.0000], [0.7500, 0.2500, 0.5000], [0.2500, 0.7500, 0.5000], [0.5000, 0.5000, 0.0000]],
  "magnetic_moment_mub_per_cell": 0.00,
  "formation_energy_uncorrected_ev_per_atom": -2.7176,
  "total_energy_ev_per_atom": -4.21
}